No. 1
# KSbF4

A PBEsol-optimized structure of KSbF4 (meta-GGA SCAN, Alexandria via LeMat-Bulk).

a = 4.471 Å, b = 11.609 Å, c = 16.275 Å
α = 90.00°, β = 90.00°, γ = 90.00°
Sites, in units of the cell vectors:
F  0.907  0.368  0.092
F  0.487  0.382  0.743
F  0.038  0.000  0.793
Sb  0.563  0.500  0.655
K  0.584  0.000  0.384
F  0.487  0.618  0.743
F  0.205  0.151  0.904
F  0.363  0.328  0.000
K  0.000  0.750  0.750
F  0.038  0.000  0.207
Sb  0.563  0.500  0.345
F  0.487  0.382  0.257
F  0.093  0.132  0.408
K  0.416  0.500  0.884
Sb  0.965  0.748  0.000
F  0.093  0.132  0.592
F  0.513  0.118  0.757
F  0.962  0.500  0.707
Sb  0.035  0.752  0.500
F  0.513  0.118  0.243
F  0.093  0.868  0.408
F  0.907  0.632  0.908
Sb  0.035  0.248  0.500
K  0.000  0.250  0.750
F  0.795  0.349  0.404
K  0.584  0.000  0.616
K  0.000  0.250  0.250
F  0.487  0.618  0.257
Sb  0.965  0.252  0.000
F  0.907  0.632  0.092
K  0.416  0.500  0.116
Sb  0.437  0.000  0.155
F  0.637  0.172  0.500
F  0.795  0.349  0.596
F  0.093  0.868  0.592
F  0.513  0.882  0.243
F  0.907  0.368  0.908
F  0.205  0.849  0.096
K  0.000  0.750  0.250
F  0.513  0.882  0.757
F  0.637  0.828  0.500
F  0.205  0.151  0.096
F  0.205  0.849  0.904
F  0.795  0.651  0.596
F  0.363  0.672  0.000
Sb  0.437  0.000  0.845
F  0.795  0.651  0.404
F  0.962  0.500  0.293

uncorrected formation energy = -2.684 eV per atom
energy = -12.643 eV/atom

No. 2
# YCuRe

A PBEsol-optimized structure of YCuRe (meta-GGA SCAN, Alexandria via LeMat-Bulk).

a = 2.824 Å, b = 4.598 Å, c = 4.598 Å
α = 120.00°, β = 90.00°, γ = 90.00°
Sites, in units of the cell vectors:
Re  0.000  0.333  0.667
Y  0.500  0.667  0.333
Cu  0.000  0.000  0.000

energy = -37.642 eV/atom
ΔH_f (0 K) = 0.405 eV per atom

No. 3
# MgCrFe2

A PBEsol-optimized structure of MgCrFe2 (meta-GGA SCAN, Alexandria via LeMat-Bulk).

a = 2.821 Å, b = 4.163 Å, c = 4.853 Å
α = 115.40°, β = 106.90°, γ = 90.00°
Sites, in units of the cell vectors:
Fe  0.733  0.233  0.466
Mg  0.500  0.500  0.000
Fe  0.993  0.993  0.987
Cr  0.274  0.774  0.547

energy = -14.623 eV/atom
ΔH_f (0 K) = 0.281 eV per atom

No. 4
# MgGaHg3

A PBEsol-optimized structure of MgGaHg3 (meta-GGA SCAN, Alexandria via LeMat-Bulk).

a = 5.142 Å, b = 5.142 Å, c = 5.142 Å
α = 90.00°, β = 90.00°, γ = 90.00°
Sites, in units of the cell vectors:
Hg  0.000  0.500  0.000
Hg  0.000  0.000  0.500
Ga  0.000  0.000  0.000
Mg  0.500  0.500  0.500
Hg  0.500  0.000  0.000

energy = -44.975 eV/atom
ΔH_f (0 K) = 0.188 eV per atom

No. 5
# MnAlCl2

A PBEsol-optimized structure of MnAlCl2 (meta-GGA SCAN, Alexandria via LeMat-Bulk).

a = 3.045 Å, b = 4.531 Å, c = 6.511 Å
α = 97.80°, β = 103.52°, γ = 90.00°
Sites, in units of the cell vectors:
Mn  0.500  0.000  0.000
Cl  0.147  0.209  0.295
Cl  0.853  0.791  0.705
Al  0.000  0.500  0.000

uncorrected formation energy = -0.614 eV per atom
energy = -11.105 eV/atom

No. 6
# MnAl2Mo

A PBEsol-optimized structure of MnAl2Mo (meta-GGA SCAN, Alexandria via LeMat-Bulk).

a = 3.816 Å, b = 3.816 Å, c = 4.721 Å
α = 113.84°, β = 113.84°, γ = 90.00°
Sites, in units of the cell vectors:
Mn  0.500  0.500  0.000
Mo  0.000  0.000  0.000
Al  0.250  0.750  0.500
Al  0.750  0.250  0.500

energy = -17.452 eV/atom
ΔH_f (0 K) = -0.291 eV per atom

No. 7
# HfGaNi3

A PBEsol-optimized structure of HfGaNi3 (meta-GGA SCAN, Alexandria via LeMat-Bulk).

a = 4.226 Å, b = 4.226 Å, c = 4.226 Å
α = 90.00°, β = 90.00°, γ = 90.00°
Sites, in units of the cell vectors:
Ni  0.500  0.000  0.000
Hf  0.500  0.500  0.500
Ga  0.000  0.000  0.000
Ni  0.000  0.000  0.500
Ni  0.000  0.500  0.000

energy = -25.160 eV/atom
ΔH_f (0 K) = 0.347 eV per atom

No. 8
# ZnCu2GeSe4

A PBEsol-optimized structure of ZnCu2GeSe4 (meta-GGA SCAN, Alexandria via LeMat-Bulk).

a = 5.555 Å, b = 5.555 Å, c = 6.795 Å
α = 114.13°, β = 114.13°, γ = 90.00°
Sites, in units of the cell vectors:
Zn  0.000  0.000  0.000
Se  0.123  0.616  0.738
Ge  0.500  0.500  0.000
Se  0.616  0.123  0.738
Se  0.384  0.384  0.262
Cu  0.750  0.250  0.500
Cu  0.250  0.750  0.500
Se  0.877  0.877  0.262

uncorrected formation energy = -0.395 eV per atom
energy = -18.309 eV/atom

No. 9
# CdTe3S

A PBEsol-optimized structure of CdTe3S (meta-GGA SCAN, Alexandria via LeMat-Bulk).

a = 5.208 Å, b = 5.208 Å, c = 5.208 Å
α = 90.00°, β = 90.00°, γ = 90.00°
Sites, in units of the cell vectors:
Te  0.000  0.000  0.500
Te  0.000  0.500  0.000
Cd  0.500  0.500  0.500
S  0.000  0.000  0.000
Te  0.500  0.000  0.000

uncorrected formation energy = 0.458 eV per atom
energy = -29.901 eV/atom

No. 10
# Fe2NiAu

A PBEsol-optimized structure of Fe2NiAu (meta-GGA SCAN, Alexandria via LeMat-Bulk).

a = 2.949 Å, b = 2.949 Å, c = 5.774 Å
α = 90.00°, β = 90.00°, γ = 90.00°
Sites, in units of the cell vectors:
Au  0.500  0.500  0.747
Fe  0.500  0.500  0.258
Ni  0.000  0.000  0.466
Fe  0.000  0.000  0.029

energy = -30.445 eV/atom
ΔH_f (0 K) = -0.048 eV per atom

No. 11
# HfZr2P2

A PBEsol-optimized structure of HfZr2P2 (meta-GGA SCAN, Alexandria via LeMat-Bulk).

a = 3.590 Å, b = 6.894 Å, c = 6.894 Å
α = 90.00°, β = 90.00°, γ = 90.00°
Sites, in units of the cell vectors:
Hf  0.000  0.500  0.500
Zr  0.500  0.337  0.163
Zr  0.500  0.163  0.663
P  0.000  0.362  0.862
Zr  0.500  0.663  0.837
P  0.000  0.862  0.638
P  0.000  0.138  0.362
P  0.000  0.638  0.138
Zr  0.500  0.837  0.337
Hf  0.000  0.000  0.000

energy = -30.266 eV/atom
ΔH_f (0 K) = -1.293 eV per atom

No. 12
# InAs2HPd

A PBEsol-optimized structure of InAs2HPd (meta-GGA SCAN, Alexandria via LeMat-Bulk).

a = 5.027 Å, b = 5.132 Å, c = 5.132 Å
α = 90.00°, β = 90.00°, γ = 90.00°
Sites, in units of the cell vectors:
As  0.000  0.500  0.000
H  0.500  0.500  0.500
Pd  0.500  0.000  0.000
In  0.000  0.000  0.000
As  0.000  0.000  0.500

energy = -20.653 eV/atom

Q: Among the records above, which one has the lowest energy?
A: MgGaHg3

Q: The lowest energy belongs to which entry?
A: MgGaHg3

Q: Which of these has the lowest energy?
A: MgGaHg3